## CaC2 (GGA-PBE)

Data for a relaxed CaC2 crystal.

relative energy among the computed polymorphs: 0.728 eV/atom
energy relative to the elements: 215 kJ/mol of formula units
total magnetization: 0.00 Bohr magnetons per cell

Cell and atoms, written as CIF:
```
data_CaC2
_chemical_formula_sum 'Ca1 C2'
_cell_length_a 2.7728
_cell_length_b 2.7728
_cell_length_c 4.2012
_cell_angle_alpha 90.00
_cell_angle_beta 90.00
_cell_angle_gamma 120.00
_space_group_name_H-M_alt 'P 6/m m m'
_space_group_IT_number 191
_space_group_name_Hall '-P 6 2'
loop_
_atom_site_label
_atom_site_type_symbol
_atom_site_fract_x
_atom_site_fract_y
_atom_site_fract_z
Ca1 Ca 0.0000 0.0000 0.0000
C1 C 0.3333 0.6667 0.5000
```